Entry 1:
4
Lattice="-4.268 2.546 -1.878 -4.743 -0.728 2.278 -2.217 3.912 2.828" Properties=species:S:1:pos:R:3 comment="CeNdInPd (PBE-GGA, relaxed)" m_tot_mub_per_atom=0.21 formation_enthalpy_0k_mev_per_atom=-429 pbc="T T T"
Nd -8.421 4.297 2.421
Pd 0.000 0.000 0.000
Ce -2.807 1.432 0.807
In -5.614 2.865 1.614

---

Entry 2:
14
Lattice="6.985 0.000 -1.353 0.000 7.502 0.000 -4.623 0.000 10.604" Properties=species:S:1:pos:R:3 comment="CsCrGaTe4 (PBE-GGA, relaxed)" m_tot_mub_per_atom=0.31 formation_energy_uncorrected_ev_per_atom=-0.36 pbc="T T T"
Cs 0.411 5.627 9.151
Cs 1.951 1.876 0.100
Cr 3.491 5.627 3.803
Cr -1.130 1.876 5.448
Ga -0.217 5.627 3.510
Ga 2.579 1.876 5.741
Te -2.489 3.764 7.005
Te 4.851 0.013 2.246
Te 4.851 3.738 2.246
Te -2.489 7.489 7.005
Te 1.674 5.627 1.676
Te 0.688 1.876 7.575
Te 1.434 5.627 5.512
Te 0.928 1.876 3.739

---

Entry 3:
80
Lattice="-0.789 -0.550 -13.112 2.080 -12.071 4.775 -11.245 4.762 4.871" Properties=species:S:1:pos:R:3 comment="Al5Te3S12 (PBE-GGA, relaxed)" m_tot_mub_per_atom=0.00 formation_energy_uncorrected_ev_per_atom=-0.47 pbc="T T T"
Te -1.217 -4.344 -7.434
Te -0.536 -8.939 -7.283
Te -5.764 -6.283 1.709
Te -4.154 0.139 -0.854
Te -3.241 -0.800 -9.658
Te -1.807 -6.560 -0.715
Te -8.146 -1.299 -2.751
Te -6.712 -7.060 6.192
Te -5.799 -7.999 -2.611
Te -4.190 -1.576 -5.175
Te -9.418 1.080 3.817
Te -8.736 -3.515 3.969
Al -2.130 -3.405 1.369
Al 1.040 -6.036 2.388
Al 0.000 0.000 0.000
Al -1.181 -2.629 -3.114
Al -6.017 2.106 -4.121
Al 0.646 -6.311 -4.168
Al -2.755 -7.336 3.769
Al -10.171 2.245 -4.975
Al -3.508 -6.171 -5.023
Al -8.469 1.856 -0.667
Al -1.484 -9.716 -2.799
Al -4.977 -3.930 -1.733
Al -0.394 -0.275 -6.556
Al -5.622 2.381 2.435
Al -6.445 -1.688 1.557
Al 0.217 -10.105 1.509
Al -4.582 -3.655 4.823
Al -7.198 -0.523 -7.235
Al -8.772 -5.230 -0.352
Al -7.824 -4.454 -4.835
S -0.527 -1.848 -8.392
S -3.579 -4.615 0.122
S -3.424 -3.553 -9.573
S -1.468 -2.029 -5.278
S -6.573 -5.501 -0.812
S -1.458 -7.051 -9.073
S -3.470 -7.820 1.677
S 0.395 -10.720 3.680
S -6.019 -8.931 -0.022
S -1.324 -6.383 -5.575
S -3.799 -4.450 -6.463
S 0.955 -11.117 -6.470
S -4.527 -5.983 4.159
S -0.213 -4.623 -2.659
S -2.355 -9.042 5.202
S -6.909 1.086 -2.114
S -1.891 -1.199 0.923
S -0.191 -7.879 -2.524
S -2.130 -10.286 -4.892
S -0.413 -4.802 0.895
S -7.302 -8.177 3.738
S -4.055 -5.872 -2.847
S -4.855 -7.981 -5.206
S -10.463 0.067 -4.436
S -5.899 -1.987 -0.619
S -5.098 0.122 1.740
S 0.510 -7.926 0.970
S -7.823 2.426 1.426
S -2.651 0.318 -7.204
S -9.540 -3.057 -4.361
S -9.763 0.020 -0.942
S -3.044 -8.945 -1.352
S -8.063 -6.660 -4.388
S -7.598 1.183 -8.668
S -5.427 -1.877 -7.625
S -10.908 3.257 3.004
S -9.740 -3.236 -0.807
S -3.934 1.072 -3.444
S -8.630 -1.477 2.110
S -6.154 -3.409 2.997
S -10.349 2.861 -7.146
S -6.483 -0.039 -5.143
S -8.485 -5.830 1.812
S -8.496 -0.808 5.608
S -3.381 -2.358 -2.653
S -6.529 -4.306 6.108
S -6.374 -3.244 -3.588
S -9.427 -6.011 4.926

---

Entry 4:
5
Lattice="-3.420 -3.011 -4.742 -2.107 -2.947 3.390 -4.874 4.350 0.753" Properties=species:S:1:pos:R:3 comment="Rb2ZnAgB (PBE-GGA, relaxed)" m_tot_mub_per_atom=0.39 formation_enthalpy_0k_mev_per_atom=1056 pbc="T T T"
Zn -1.053 -1.473 1.695
B -5.200 -0.804 -0.300
Rb -2.437 2.175 0.376
Rb -1.710 -1.506 -2.371
Ag 0.000 0.000 0.000

---

Entry 5:
10
Lattice="-1.368 3.098 1.271 0.901 -0.982 3.363 16.653 8.202 -2.066" Properties=species:S:1:pos:R:3 comment="NdMg5Sc4 (PBE-GGA, relaxed)" m_tot_mub_per_atom=0.00 formation_enthalpy_0k_mev_per_atom=-45 pbc="T T T"
Nd 0.000 0.000 0.000
Mg 1.730 2.025 2.074
Mg 4.903 3.588 1.680
Mg 8.093 5.159 1.284
Mg 11.282 6.730 0.889
Mg 14.455 8.292 0.495
Sc 3.556 1.752 -0.441
Sc 6.734 3.317 -0.835
Sc 9.918 4.885 -1.230
Sc 13.096 6.450 -1.625

---

Entry 6:
6
Lattice="3.629 0.000 -1.515 -1.078 4.811 -2.585 0.717 0.605 6.823" Properties=species:S:1:pos:R:3 comment="KTl2F3 (PBE-GGA, relaxed)" m_tot_mub_per_atom=0.00 formation_energy_uncorrected_ev_per_atom=-2.06 e_above_lowest_polymorph_mev_per_atom=0.0 pbc="T T T"
K 1.815 0.000 -0.757
Tl 0.127 3.411 0.302
Tl 3.141 2.005 2.421
F 1.276 2.405 -2.050
F 0.619 0.935 1.482
F 2.650 4.481 1.242

---

Entry 7:
5
Lattice="-2.867 -0.197 -2.970 -1.209 -3.691 1.411 -4.503 3.059 4.144" Properties=species:S:1:pos:R:3 comment="P2SIF (PBE-GGA, relaxed)" m_tot_mub_per_atom=0.36 formation_energy_uncorrected_ev_per_atom=0.82 e_above_lowest_polymorph_mev_per_atom=450.3 pbc="T T T"
I -4.289 -0.414 1.293
P -0.604 -1.846 0.706
P -1.433 -0.098 -1.485
S -2.251 1.529 2.072
F 0.000 0.000 0.000

---

Entry 8:
4
Lattice="-0.711 2.308 -2.421 -2.390 1.274 1.917 5.716 5.442 3.511" Properties=species:S:1:pos:R:3 comment="KCrAs2 (PBE-GGA, relaxed)" m_tot_mub_per_atom=0.58 e_above_lowest_polymorph_mev_per_atom=239.1 formation_enthalpy_0k_mev_per_atom=55 pbc="T T T"
As 0.175 0.167 0.108
As 0.705 3.939 1.133
Cr 1.763 1.679 1.083
K 2.830 5.962 2.438

---

Entry 9:
4
Lattice="-3.966 0.134 8.424 -2.880 -3.570 8.104 -0.328 -0.896 9.263" Properties=species:S:1:pos:R:3 comment="La2ScRu (PBE-GGA, relaxed)" m_tot_mub_per_atom=0.22 e_above_lowest_polymorph_mev_per_atom=210.2 formation_enthalpy_0k_mev_per_atom=73 pbc="T T T"
La -0.149 -0.090 0.535
La -3.438 -2.076 12.361
Ru -5.381 -3.249 19.344
Sc -1.794 -1.083 6.448

---

Entry 10:
8
Lattice="5.986 0.074 0.105 -2.883 5.247 -0.105 -2.883 -1.884 4.898" Properties=species:S:1:pos:R:3 comment="Nd2HgPd5 (PBE-GGA, relaxed)" m_tot_mub_per_atom=0.00 formation_enthalpy_0k_mev_per_atom=-653 pbc="T T T"
Nd -0.050 0.029 3.832
Nd -0.050 3.594 1.331
Hg -4.486 2.617 3.729
Pd -1.492 2.652 3.780
Pd -3.043 3.557 1.279
Pd -3.043 -0.007 3.780
Pd 1.392 0.971 1.384
Pd -1.601 0.934 1.331

---

Respective raw total energy values: -5.09, -4.09, -4.35, -1.49, -3.85, -3.97, -2.85, -4.95, -6.29, -5.13 eV/atom.